Li7GaHg2 (PBE, optimized geometry); ΔE_f = -75.9 meV/atom; M_tot = 0.00 μB/f.u.
1.0
4.3845 -7.7808 0.0000
4.3845 7.7808 0.0000
0.0000 0.0000 3.0492
Li Ga Hg
7 1 2
direct
0.0000 0.0000 0.0000
0.1925 0.3735 0.0000
0.3181 0.6819 0.5000
0.3735 0.1925 0.0000
0.6265 0.8075 0.0000
0.6819 0.3181 0.5000
0.8075 0.6265 0.0000
0.5000 0.5000 0.5000
0.1744 0.8256 0.0000
0.8256 0.1744 0.0000